A relaxed structure of LiFe2O2F3, computed with GGA+U.

abc: 5.7153 5.7153 7.0895
angles: 70.46 70.46 55.79
Last column: nearest neighbours and their distance in Å.
Element x y z (fractional)
Li 0.0000 0.0000 0.5000  4 F 2.05-2.06, 2 O 2.20
Li 0.0000 0.0000 0.0000  4 F 2.05-2.06, 2 O 2.20
Fe 0.6293 0.6007 0.2997  3 O 1.93-1.97, 2 F 1.95-2.07
Fe 0.6007 0.6293 0.7997  3 O 1.93-1.97, 2 F 1.95-2.07
Fe 0.3993 0.3707 0.2003  3 O 1.93-1.97, 2 F 1.95-2.07
Fe 0.3707 0.3993 0.7003  3 O 1.93-1.97, 2 F 1.95-2.07
O 0.7160 0.4412 0.0622  3 Fe 1.93-1.97
O 0.4412 0.7160 0.5622  3 Fe 1.93-1.97
O 0.5588 0.2840 0.4378  3 Fe 1.93-1.97
O 0.2840 0.5588 0.9378  3 Fe 1.93-1.97
F 0.0538 0.3446 0.3357  2 Fe 1.95-2.07, 1 Li 2.06
F 0.6554 0.9462 0.1643  2 Fe 1.95-2.07, 1 Li 2.06
F 0.3446 0.0538 0.8357  2 Fe 1.95-2.07, 1 Li 2.06
F 0.9462 0.6554 0.6643  2 Fe 1.95-2.07, 1 Li 2.06
F 0.1933 0.8067 0.2500  2 Li 2.05, 2 Fe 2.18
F 0.8067 0.1933 0.7500  2 Li 2.05, 2 Fe 2.18

Summary:
- Magnetization: 12.1 μB/cell
- V: 11.078 Å³ per atom
- SG: No. 15
- Mass density: 3.89 g/cm3
- Energy above the most stable polymorph in this dataset: 0.2320 eV/atom